# 1
First-principles (PBE-GGA) data for a relaxed LaNdCl6 crystal, as listed in Alexandria via LeMat-Bulk.

a = 6.9991 Å, b = 12.2467 Å, c = 7.6291 Å
α = 90.00°, β = 97.34°, γ = 90.00°
With the nearest neighbours (Å) after each atom.
Space group C2/m (No. 12)
Asymmetric unit:
La 0.0000 0.0000 0.0000 x2  6 Cl 2.82
Nd 0.0000 0.0000 0.5000 x2  6 Cl 2.77
Cl 0.1472 0.1448 0.2718 x8  1 Nd 2.77, 1 La 2.82
Cl 0.2051 0.5000 0.2206 x4  1 Nd 2.77, 1 La 2.82

# 2
First-principles (PBE-GGA) data for a relaxed LaNdCl6 crystal, as listed in Alexandria via LeMat-Bulk.

a = 6.9984 Å, b = 6.9984 Å, c = 19.3462 Å
α = 90.00°, β = 90.00°, γ = 120.00°
With the nearest neighbours (Å) after each atom.
Space group R-3 (No. 148, hexagonal axes)
Asymmetric unit:
La 0.0000 0.0000 0.0000 x3  6 Cl 2.80
Nd 0.0000 0.0000 0.5000 x3  6 Cl 2.76
Cl 0.0035 0.3548 0.2493 x18  1 Nd 2.76, 1 La 2.80

# 3
First-principles (PBE-GGA) data for a relaxed LaNdCl2 crystal, as listed in Alexandria via LeMat-Bulk.

a = 3.6652 Å, b = 3.6652 Å, c = 29.7666 Å
α = 90.00°, β = 90.00°, γ = 120.00°
With the nearest neighbours (Å) after each atom.
Space group R-3m (No. 166, hexagonal axes)
Asymmetric unit:
La 0.0000 0.0000 0.0000 x3  2 Cl 2.92
Nd 0.0000 0.0000 0.5000 x3  6 Cl 2.94
Cl 0.0000 0.0000 0.0982 x6  1 La 2.92, 3 Nd 2.94

# 4
First-principles (PBE-GGA) data for a relaxed LaNdCl2 crystal, as listed in Alexandria via LeMat-Bulk.

a = 3.6488 Å, b = 3.6488 Å, c = 26.4730 Å
α = 90.00°, β = 90.00°, γ = 120.00°
With the nearest neighbours (Å) after each atom.
Space group R3m (No. 160, hexagonal axes)
Asymmetric unit:
La 0.0000 0.0000 0.0000 x3  6 Cl 3.06-3.08
Nd 0.0000 0.0000 0.8342 x3  6 Cl 3.02-3.04
Cl 0.0000 0.0000 0.4183 x3  3 Nd 3.04, 3 La 3.08
Cl 0.0000 0.0000 0.5826 x3  3 Nd 3.02, 3 La 3.06

# 5
First-principles (PBE-GGA) data for a relaxed LaNdCl crystal, as listed in Alexandria via LeMat-Bulk.

a = 19.3572 Å, b = 5.9585 Å, c = 13.6881 Å
α = 90.00°, β = 134.58°, γ = 90.00°
With the nearest neighbours (Å) after each atom.
Space group Cc (No. 9)
Asymmetric unit:
La 0.0000 0.0037 0.0000 x4  2 Cl 2.85-2.97
La 0.3031 0.0260 0.7461 x4  4 Cl 2.93-3.01
La 0.3027 0.4766 0.0236 x4  4 Cl 2.93-3.01
Nd 0.0993 0.0122 0.3562 x4  2 Cl 2.86-2.99
Nd 0.0995 0.4881 0.0083 x4  2 Cl 2.86-2.99
Nd 0.4989 0.0020 0.6641 x4  2 Cl 2.81-2.95
Cl 0.1652 0.2523 0.7484 x4  3 Nd 2.95-2.99, 3 La 2.97-3.01, 2 Cl 3.24
Cl 0.3047 0.0283 0.5333 x4  2 Nd 2.81-2.86, 3 La 2.93-3.01
Cl 0.3046 0.4689 0.2396 x4  4 La 2.85-3.01, 1 Nd 2.86

# 6
First-principles (PBE-GGA) data for a relaxed LaNdCl crystal, as listed in Alexandria via LeMat-Bulk.

a = 4.1546 Å, b = 4.1546 Å, c = 6.3557 Å
α = 90.00°, β = 90.00°, γ = 120.00°
With the nearest neighbours (Å) after each atom.
Space group P3m1 (No. 156)
Asymmetric unit:
La 0.0000 0.0000 0.0000 x1  3 Cl 2.94
Nd 0.3333 0.6667 0.5241 x1  3 Cl 2.90
Cl 0.6667 0.3333 0.2664 x1  3 Nd 2.90, 3 La 2.94

Relative energy among the computed polymorphs values (in meV per atom) by entry order: 52; 0; 86; 0; 0; 61.
Total magnetic moment values (in μB/cell) by entry order: 0.00; 0.00; 1.66; 0.00; 0.00; 0.13.
E values (in eV/cell) by entry order: -77.4; -117.4; -56.6; -57.6; -172.4; -14.2.